AcNdAl4, optimized geometry, DFT PBE-GGA; energy of formation = -0.4024 eV per atom; SG = I-4m2; total DFT energy (no corrections) = -4.38 eV/atom
1.0
4.268 0.000 -1.318
-0.407 4.249 -1.318
0.261 0.288 8.417
Ac Nd Al
1 1 4
direct
0.000 0.000 0.000
0.250 0.750 0.500
0.669 0.169 0.338
0.585 0.585 0.171
0.831 0.331 0.662
0.415 0.415 0.829



HoErMgPd, optimized geometry, DFT PBE-GGA; energy of formation = -0.4924 eV per atom; SG = P4mm; total DFT energy (no corrections) = -4.47 eV/atom
1.0
-2.855 2.193 0.130
-1.995 -2.499 -1.660
-1.877 -2.829 6.515
Ho Er Mg Pd
1 1 1 1
direct
0.000 0.000 0.830
0.000 0.000 0.385
0.500 0.500 0.109
0.500 0.500 0.605



RbBe2VBr8, optimized geometry, DFT PBE-GGA; SG = R-3; total DFT energy (no corrections) = -3.61 eV/atom
1.0
-0.135 5.303 -3.562
-3.906 4.806 1.572
6.068 7.485 5.181
Rb Be V Br
1 2 1 8
direct
0.500 0.500 0.500
0.262 0.262 0.213
0.738 0.738 0.787
0.000 0.000 0.000
0.193 0.193 0.420
0.622 0.272 0.146
0.807 0.807 0.580
0.959 0.622 0.146
0.041 0.378 0.854
0.272 0.959 0.146
0.728 0.041 0.854
0.378 0.728 0.854



RbNb2W, optimized geometry, DFT PBE-GGA; energy of formation = 1.9547 eV per atom; SG = I-42d; total DFT energy (no corrections) = -6.56 eV/atom
1.0
5.430 0.000 0.000
0.000 5.430 0.000
2.715 2.715 8.605
Nb Rb W
4 2 2
direct
0.831 0.125 0.250
0.919 0.625 0.250
0.375 0.169 0.750
0.875 0.081 0.750
0.500 0.500 0.000
0.250 0.750 0.500
0.000 0.000 0.000
0.750 0.250 0.500



BC3, optimized geometry, DFT PBE-GGA; energy of formation = 0.2840 eV per atom; SG = Cm; total DFT energy (no corrections) = -8.30 eV/atom
1.0
5.733 0.040 -1.285
5.147 2.524 -1.285
0.017 0.004 5.217
B C
3 9
direct
0.330 0.330 0.163
0.917 0.917 0.712
0.669 0.669 0.328
0.005 0.005 0.008
0.927 0.927 0.211
0.254 0.254 0.390
0.005 0.005 0.493
0.579 0.579 0.550
0.323 0.323 0.664
0.244 0.244 0.868
0.664 0.664 0.829
0.582 0.582 0.032



KCrSe2, optimized geometry, DFT PBE-GGA; SG = R3m; total DFT energy (no corrections) = -4.89 eV/atom
1.0
2.435 0.000 8.166
-1.217 2.109 8.166
-1.217 -2.109 8.166
Cr K Se
1 1 2
direct
0.504 0.504 0.504
0.008 0.008 0.008
0.142 0.142 0.142
0.596 0.596 0.596



Na5Br4Cl, optimized geometry, DFT PBE-GGA; SG = Immm; total DFT energy (no corrections) = -3.12 eV/atom
1.0
4.108 0.000 -0.793
-0.308 5.746 -1.595
0.031 0.009 11.206
Na Br Cl
5 4 1
direct
0.594 0.094 0.187
0.800 0.300 0.599
0.200 0.700 0.401
0.000 0.500 0.000
0.406 0.906 0.813
0.401 0.401 0.802
0.802 0.802 0.604
0.198 0.198 0.396
0.599 0.599 0.198
0.000 0.000 0.000



CePmDy2, optimized geometry, DFT PBE-GGA; energy of formation = 0.1734 eV per atom; SG = Fm-3m; total DFT energy (no corrections) = -4.80 eV/atom
1.0
5.683 0.000 0.000
2.841 4.921 0.000
2.841 1.640 4.640
Pm Ce Dy
1 1 2
direct
0.000 0.000 0.000
0.500 0.500 0.500
0.250 0.250 0.250
0.750 0.750 0.750